Record 1
A relaxed K2CaSO crystal. Source: the Alexandria database, functional PBE.

```
5
Lattice="-0.460 4.417 -4.337 -3.827 0.792 1.212 2.147 4.193 4.042" Properties=species:S:1:pos:R:3 pbc="T T T"
S -1.070 4.701 0.458
Ca 0.000 0.000 0.000
K 1.074 2.097 2.021
K -0.230 2.209 -2.169
O -1.914 0.396 0.606
```

* E_tot: -17.0 eV per cell
* ΔE_f (raw): -3.8 eV/f.u.



Record 2
A relaxed Cu2Te4Cl3 crystal. Source: the Alexandria database, functional PBE.

```
18
Lattice="-5.780 -0.785 -2.817 -0.469 -5.170 8.552 -0.468 8.850 4.643" Properties=species:S:1:pos:R:3 pbc="T T T"
Cu -3.163 2.880 1.337
Cu -6.443 4.275 6.336
Cu -3.554 0.014 9.042
Cu -0.274 -1.380 4.042
Te -3.234 -1.990 7.379
Te -0.594 -2.234 6.503
Te -3.483 4.884 3.000
Te -6.123 5.129 3.876
Te -0.679 1.115 3.700
Te -3.149 2.327 8.044
Te -6.039 1.780 6.679
Te -3.568 0.568 2.334
Cl -5.544 0.680 -1.351
Cl -4.063 3.782 9.775
Cl -1.174 2.215 11.729
Cl -2.654 -0.887 0.604
Cl -1.914 0.965 6.082
Cl -4.803 1.929 4.296
```

* E_tot: -54.9 eV per cell
* ΔE_f (raw): -1.1 eV/f.u.